ZrMnTl2 at its PBEsol-relaxed geometry. Source: Alexandria, functional meta-GGA SCAN.

- size of the total moment (μB/cell) = 6.52
- E (eV/cell) = -387.7

a = 4.1916 Å, b = 4.1916 Å, c = 9.3805 Å
α = 90.00°, β = 90.00°, γ = 90.00°
Last column: nearest neighbours and their distance in Å.
Element x y z (fractional)
Zr (0.0000, 0.0000, 0.0000)  8 Tl 2.96-3.15, 4 Mn 3.15
Zr (0.5000, 0.5000, 0.5000)  8 Tl 2.96-3.15, 4 Mn 3.15
Mn (0.0000, 0.5000, 0.2500)  8 Tl 2.96-3.15, 4 Zr 3.15
Mn (0.5000, 0.0000, 0.7500)  8 Tl 2.96-3.15, 4 Zr 3.15
Tl (0.0000, 0.0000, 0.5000)  4 Zr 2.96, 4 Tl 3.15, 4 Mn 3.15
Tl (0.0000, 0.5000, 0.7500)  4 Mn 2.96, 4 Zr 3.15, 4 Tl 3.15
Tl (0.5000, 0.0000, 0.2500)  4 Mn 2.96, 4 Tl 3.15, 4 Zr 3.15
Tl (0.5000, 0.5000, 0.0000)  4 Zr 2.96, 4 Tl 3.15, 4 Mn 3.15

ZrMnTl at its PBEsol-relaxed geometry. Source: Alexandria, functional meta-GGA SCAN.

- size of the total moment (μB/cell) = 0.01
- E (eV/cell) = -241.5

a = 3.3293 Å, b = 3.3293 Å, c = 9.6371 Å
α = 90.00°, β = 90.00°, γ = 90.00°
Last column: nearest neighbours and their distance in Å.
Element x y z (fractional)
Zr (0.0000, 0.0000, 0.0000)  4 Mn 2.66, 1 Tl 2.89
Zr (0.5000, 0.5000, 0.5000)  4 Mn 2.66, 1 Tl 2.89
Mn (0.0000, 0.0000, 0.3711)  4 Zr 2.66, 4 Tl 2.87
Mn (0.5000, 0.5000, 0.8711)  4 Zr 2.66, 4 Tl 2.87
Tl (0.0000, 0.0000, 0.7002)  5 Mn 2.87-3.17, 5 Zr 2.89-3.04
Tl (0.5000, 0.5000, 0.2002)  5 Mn 2.87-3.17, 5 Zr 2.89-3.04

TmMn2 at its PBEsol-relaxed geometry. Source: Alexandria, functional meta-GGA SCAN.

- size of the total moment (μB/cell) = 7.99
- E (eV/cell) = -353.8

a = 4.9710 Å, b = 4.9710 Å, c = 8.1229 Å
α = 90.00°, β = 90.00°, γ = 120.00°
Last column: nearest neighbours and their distance in Å.
Element x y z (fractional)
Tm (0.3333, 0.6667, 0.0625)  12 Mn 2.91-2.92, 4 Tm 3.04-3.05
Tm (0.3333, 0.6667, 0.4375)  12 Mn 2.91-2.92, 4 Tm 3.04-3.05
Tm (0.6667, 0.3333, 0.5625)  12 Mn 2.91-2.92, 4 Tm 3.04-3.05
Tm (0.6667, 0.3333, 0.9375)  12 Mn 2.91-2.92, 4 Tm 3.04-3.05
Mn (0.0000, 0.0000, 0.0000)  6 Mn 2.50
Mn (0.0000, 0.0000, 0.5000)  6 Mn 2.50
Mn (0.1690, 0.3379, 0.7500)  6 Mn 2.45-2.52
Mn (0.1690, 0.8310, 0.7500)  6 Mn 2.45-2.52
Mn (0.3379, 0.1690, 0.2500)  6 Mn 2.45-2.52
Mn (0.6621, 0.8310, 0.7500)  6 Mn 2.45-2.52
Mn (0.8310, 0.1690, 0.2500)  6 Mn 2.45-2.52
Mn (0.8310, 0.6621, 0.2500)  6 Mn 2.45-2.52

TmMn12 at its PBEsol-relaxed geometry. Source: Alexandria, functional meta-GGA SCAN.

- size of the total moment (μB/cell) = 0.85
- E (eV/cell) = -271.0

a = 6.1790 Å, b = 6.1790 Å, c = 6.1790 Å
α = 97.61°, β = 97.61°, γ = 137.32°
Last column: nearest neighbours and their distance in Å.
Element x y z (fractional)
Tm (0.0000, 0.0000, 0.0000)  20 Mn 2.90-3.09
Mn (0.0000, 0.0000, 0.5000)  10 Mn 2.25-2.50
Mn (0.0000, 0.3643, 0.3643)  1 Mn 2.21
Mn (0.0000, 0.5000, 0.0000)  10 Mn 2.25-2.50
Mn (0.0000, 0.6357, 0.6357)  1 Mn 2.21
Mn (0.2756, 0.5000, 0.7756)  10 Mn 2.33-2.58
Mn (0.3643, 0.0000, 0.3643)  1 Mn 2.21
Mn (0.5000, 0.0000, 0.0000)  10 Mn 2.25-2.50
Mn (0.5000, 0.2756, 0.7756)  10 Mn 2.33-2.58
Mn (0.5000, 0.5000, 0.5000)  10 Mn 2.25-2.50
Mn (0.5000, 0.7244, 0.2244)  10 Mn 2.33-2.58
Mn (0.6357, 0.0000, 0.6357)  1 Mn 2.21
Mn (0.7244, 0.5000, 0.2244)  10 Mn 2.33-2.58